(1)
The following is a DFT calculation (GGA-PBE) of crystalline Ac3MnPb at its relaxed geometry.

Cell and atoms, written as POSCAR:
```
Ac3MnPb
1.0
5.484 0.000 0.000
0.000 5.484 0.000
0.000 0.000 5.484
Ac Mn Pb
3 1 1
Cartesian
0.000 0.000 2.742
0.000 2.742 0.000
2.742 0.000 0.000
0.000 0.000 0.000
2.742 2.742 2.742
```

## Properties
- Symmetry: Pm-3m
- ΔH_f (0 K): -0.058 eV/atom
- V: 164.9 Å³/cell
- DOS(E_F): 2.9 states/eV/f.u.

---

(2)
The following is a DFT calculation (GGA-PBE) of crystalline Ac2MnPd6Pb at its relaxed geometry.

Cell and atoms, written as POSCAR:
```
Ac2MnPd6Pb
1.0
2.929 1.691 8.325
-2.929 1.691 8.325
0.000 -3.382 8.325
Ac Mn Pd Pb
2 1 6 1
Cartesian
0.000 0.000 5.268
0.000 0.000 19.706
0.000 0.000 12.487
-1.463 -0.845 14.431
0.000 -1.689 10.544
-1.463 0.845 10.544
1.463 -0.845 14.431
0.000 1.689 14.431
1.463 0.845 10.544
0.000 0.000 0.000
```

## Properties
- Symmetry: R-3m
- ΔH_f (0 K): -0.424 eV/atom
- V: 247.4 Å³/cell
- DOS(E_F): 4.3 states/eV/f.u.

---

(3)
The following is a DFT calculation (GGA-PBE) of crystalline AcMnPd2 at its relaxed geometry.

Cell and atoms, written as POSCAR:
```
AcMnPd2
1.0
4.485 0.000 0.000
-2.243 3.884 0.000
0.000 0.000 15.521
Ac Mn Pd
3 3 6
Cartesian
0.000 0.000 0.000
0.000 2.589 10.347
2.243 1.295 5.174
0.000 0.000 7.761
0.000 2.589 2.587
2.243 1.295 12.934
0.000 0.000 3.230
0.000 0.000 12.291
0.000 2.589 7.118
0.000 2.589 13.577
2.243 1.295 1.944
2.243 1.295 8.403
```

## Properties
- Symmetry: R-3m
- ΔH_f (0 K): -0.500 eV/atom
- V: 270.4 Å³/cell
- DOS(E_F): 2.4 states/eV/f.u.

---

(4)
The following is a DFT calculation (GGA-PBE) of crystalline Ac2MnPd9 at its relaxed geometry.

Cell and atoms, written as POSCAR:
```
Ac2MnPd9
1.0
2.719 1.570 9.192
-2.719 1.570 9.192
0.000 -3.139 9.192
Ac Mn Pd
2 1 9
Cartesian
0.000 0.000 3.688
0.000 0.000 23.887
0.000 0.000 0.000
-1.365 -0.788 11.458
0.000 0.000 9.182
0.000 -1.577 16.117
-1.365 0.788 16.117
0.000 0.000 13.788
1.365 -0.788 11.458
0.000 1.577 11.458
0.000 0.000 18.393
1.365 0.788 16.117
```

## Properties
- Offset from the most stable computed form: 1.90 eV per formula unit
- Symmetry: R-3m
- ΔH_f (0 K): -0.368 eV/atom
- V: 235.4 Å³/cell
- DOS(E_F): 11.1 states/eV/f.u.

---

(5)
The following is a DFT calculation (GGA-PBE) of crystalline Ac2MnPd9 at its relaxed geometry.

Cell and atoms, written as POSCAR:
```
Ac2MnPd9
1.0
4.279 0.000 0.000
0.000 4.279 0.000
0.000 0.000 12.091
Ac Mn Pd
2 1 9
Cartesian
0.000 0.000 2.180
0.000 0.000 9.910
0.000 0.000 6.045
0.000 2.139 0.000
0.000 2.139 4.332
0.000 2.139 7.758
2.139 0.000 0.000
2.139 0.000 4.332
2.139 0.000 7.758
2.139 2.139 2.153
2.139 2.139 6.045
2.139 2.139 9.937
```

## Properties
- Offset from the most stable computed form: 0.00 eV per formula unit
- Symmetry: P4/mmm
- ΔH_f (0 K): -0.526 eV/atom
- V: 221.4 Å³/cell
- DOS(E_F): 8.5 states/eV/f.u.

---

(6)
The following is a DFT calculation (GGA-PBE) of crystalline AcMnPd at its relaxed geometry.

Cell and atoms, written as POSCAR:
```
AcMnPd
1.0
5.603 0.000 0.000
0.000 5.837 0.000
0.000 0.000 7.963
Ac Mn Pd
4 4 4
Cartesian
0.000 1.459 0.991
0.000 4.378 6.972
2.801 1.459 2.991
2.801 4.378 4.973
1.401 1.459 5.972
1.401 4.378 1.991
4.202 1.459 5.972
4.202 4.378 1.991
0.000 0.000 3.982
0.000 2.919 3.982
2.801 0.000 0.000
2.801 2.919 0.000
```

## Properties
- Symmetry: Imma
- ΔH_f (0 K): -0.233 eV/atom
- V: 260.4 Å³/cell
- DOS(E_F): 1.7 states/eV/f.u.

---

(7)
The following is a DFT calculation (GGA-PBE) of crystalline AcMnPd2 at its relaxed geometry.

Cell and atoms, written as POSCAR:
```
AcMnPd2
1.0
3.483 0.000 0.000
0.000 3.483 0.000
0.000 0.000 6.928
Ac Mn Pd
1 1 2
Cartesian
0.000 0.000 0.000
0.000 0.000 3.464
1.742 1.742 2.076
1.742 1.742 4.852
```

## Properties
- Symmetry: P4/mmm
- ΔH_f (0 K): -0.312 eV/atom
- V: 84.1 Å³/cell
- DOS(E_F): 1.9 states/eV/f.u.

---

(8)
The following is a DFT calculation (GGA-PBE) of crystalline Ac2MnPdS6 at its relaxed geometry.

Cell and atoms, written as POSCAR:
```
Ac2MnPdS6
1.0
6.592 0.000 0.000
0.000 9.373 0.000
0.000 0.000 6.930
Ac Mn Pd S
4 2 2 12
Cartesian
1.648 0.094 1.577
1.648 4.593 1.577
4.944 4.780 5.353
4.944 9.279 5.353
1.648 7.030 5.194
4.944 2.343 1.736
1.648 2.343 5.124
4.944 7.030 1.806
0.020 7.030 0.024
0.034 2.343 3.326
1.648 4.717 5.444
1.648 9.343 5.444
3.262 2.343 3.326
3.276 7.030 0.024
3.316 2.343 6.906
3.330 7.030 3.604
4.944 0.030 1.486
4.944 4.657 1.486
6.558 7.030 3.604
6.573 2.343 6.906
```

## Properties
- Symmetry: Pmmn
- V: 428.2 Å³/cell
- DOS(E_F): 2.3 states/eV/f.u.
- Raw formation energy: -1.167 eV per atom

---

Question: What is the V in the second record?
Answer: 247.4 Å³/cell

---

Question: Which value of DOS(E_F) does entry 2 give?
Answer: 4.3 states/eV/f.u.

---

Repeat the first record exactly.
The following is a DFT calculation (GGA-PBE) of crystalline Ac3MnPb at its relaxed geometry.

Cell and atoms, written as POSCAR:
```
Ac3MnPb
1.0
5.484 0.000 0.000
0.000 5.484 0.000
0.000 0.000 5.484
Ac Mn Pb
3 1 1
Cartesian
0.000 0.000 2.742
0.000 2.742 0.000
2.742 0.000 0.000
0.000 0.000 0.000
2.742 2.742 2.742
```

## Properties
- Symmetry: Pm-3m
- ΔH_f (0 K): -0.058 eV/atom
- V: 164.9 Å³/cell
- DOS(E_F): 2.9 states/eV/f.u.